First-principles (PBE-GGA) data for an optimized crystal structure of SiNi2Ru, as listed in Alexandria.

```
data_SiNi2Ru
_symmetry_space_group_name_H-M 'C 1 m 1'
_symmetry_Int_Tables_number 8
_cell_length_a 8.720
_cell_length_b 2.740
_cell_length_c 4.305
_cell_angle_alpha 90.00
_cell_angle_beta 111.58
_cell_angle_gamma 90.00
loop_
_symmetry_equiv_pos_as_xyz
'x,y,z'
'x,-y,z'
'x+1/2,y+1/2,z'
'x+1/2,-y+1/2,z'
loop_
_atom_site_label
_atom_site_type_symbol
_atom_site_fract_x
_atom_site_fract_y
_atom_site_fract_z
Si1 Si 0.000 0.000 0.000
Ni1 Ni 0.023 0.500 0.499
Ni2 Ni 0.282 0.000 0.673
Ru1 Ru 0.245 0.500 0.150
```

***

First-principles (PBE-GGA) data for an optimized crystal structure of K2IrCl7, as listed in Alexandria.

```
data_K2IrCl7
_symmetry_space_group_name_H-M 'C 1 2/c 1'
_symmetry_Int_Tables_number 15
_cell_length_a 17.215
_cell_length_b 7.287
_cell_length_c 12.395
_cell_angle_alpha 90.00
_cell_angle_beta 128.70
_cell_angle_gamma 90.00
loop_
_symmetry_equiv_pos_as_xyz
'x,y,z'
'-x,-y,-z'
'-x,y,-z+1/2'
'x,-y,z+1/2'
'x+1/2,y+1/2,z'
'-x+1/2,-y+1/2,-z'
'-x+1/2,y+1/2,-z+1/2'
'x+1/2,-y+1/2,z+1/2'
loop_
_atom_site_label
_atom_site_type_symbol
_atom_site_fract_x
_atom_site_fract_y
_atom_site_fract_z
K1 K 0.112 0.190 0.036
Ir1 Ir 0.000 0.261 0.250
Cl1 Cl 0.000 0.409 0.750
Cl2 Cl 0.081 0.263 0.491
Cl3 Cl 0.089 0.009 0.763
Cl4 Cl 0.156 0.363 0.308
```

***

First-principles (PBE-GGA) data for an optimized crystal structure of PmB2RuO8, as listed in Alexandria.

```
data_PmB2RuO8
_symmetry_space_group_name_H-M 'P -3 m 1'
_symmetry_Int_Tables_number 164
_symmetry_space_group_name_Hall '-P 3 2"'
_cell_length_a 4.9325
_cell_length_b 4.9325
_cell_length_c 6.5192
_cell_angle_alpha 90.00
_cell_angle_beta 90.00
_cell_angle_gamma 120.00
loop_
_atom_site_label
_atom_site_type_symbol
_atom_site_fract_x
_atom_site_fract_y
_atom_site_fract_z
Pm1 Pm 0.0000 0.0000 0.0000
B1 B 0.3333 0.6667 0.2394
Ru1 Ru 0.0000 0.0000 0.5000
O1 O 0.1723 0.3446 0.3153
O2 O 0.3333 0.6667 0.0203
```

***

First-principles (PBE-GGA) data for an optimized crystal structure of TbTm2PuS4, as listed in Alexandria.

```
data_TbTm2PuS4
_symmetry_space_group_name_H-M 'P 1 2/m 1'
_symmetry_Int_Tables_number 10
_cell_length_a 6.738
_cell_length_b 3.873
_cell_length_c 6.757
_cell_angle_alpha 90.00
_cell_angle_beta 109.16
_cell_angle_gamma 90.00
loop_
_symmetry_equiv_pos_as_xyz
'x,y,z'
'-x,-y,-z'
'-x,y,-z'
'x,-y,z'
loop_
_atom_site_label
_atom_site_type_symbol
_atom_site_fract_x
_atom_site_fract_y
_atom_site_fract_z
Tb1 Tb 0.000 0.000 0.000
Tm1 Tm 0.000 0.500 0.500
Tm2 Tm 0.500 0.000 0.500
Pu1 Pu 0.500 0.500 0.000
S1 S 0.246 0.000 0.741
S2 S 0.252 0.500 0.259
```

***

Calculated E, -6.812 -3.259 -7.350 -7.490 eV/atom (same order as the records).